Entry 1
# Sb3MoO, optimized geometry, DFT GGA+U
# Theoretical density (g/cm³): 7.3
data_Sb3MoO
_chemical_formula_sum 'Sb3 Mo1 O1'
_cell_length_a 4.774
_cell_length_b 4.774
_cell_length_c 4.774
_cell_angle_alpha 90.00
_cell_angle_beta 90.00
_cell_angle_gamma 90.00
_symmetry_space_group_name_H-M 'P m -3 m'
_symmetry_Int_Tables_number 221
_symmetry_space_group_name_Hall '-P 4 2 3'
loop_
_atom_site_label
_atom_site_type_symbol
_atom_site_fract_x
_atom_site_fract_y
_atom_site_fract_z
Sb1 Sb 0.000 0.000 0.500
Mo1 Mo 0.500 0.500 0.500
O1 O 0.000 0.000 0.000

Entry 2
# Sb3MoO, optimized geometry, DFT GGA+U
# Theoretical density (g/cm³): 5.8
data_Sb3MoO
_chemical_formula_sum 'Sb3 Mo1 O1'
_cell_length_a 5.143
_cell_length_b 5.143
_cell_length_c 5.143
_cell_angle_alpha 90.00
_cell_angle_beta 90.00
_cell_angle_gamma 90.00
_symmetry_space_group_name_H-M 'P m -3 m'
_symmetry_Int_Tables_number 221
_symmetry_space_group_name_Hall '-P 4 2 3'
loop_
_atom_site_label
_atom_site_type_symbol
_atom_site_fract_x
_atom_site_fract_y
_atom_site_fract_z
Sb1 Sb 0.000 0.000 0.500
Mo1 Mo 0.000 0.000 0.000
O1 O 0.500 0.500 0.500

Which of them is the most stable, and which is the least stable? entry 1 and entry 2, in that order.

Entry 1
# ScMoO2, optimized geometry, DFT GGA+U
# Theoretical density (g/cm³): 4.4
data_ScMoO2
_chemical_formula_sum 'Sc4 Mo4 O8'
_cell_length_a 5.165
_cell_length_b 5.165
_cell_length_c 9.846
_cell_angle_alpha 90.00
_cell_angle_beta 90.00
_cell_angle_gamma 90.00
_symmetry_space_group_name_H-M 'I -4 2 d'
_symmetry_Int_Tables_number 122
_symmetry_space_group_name_Hall 'I -4 2bw'
loop_
_atom_site_label
_atom_site_type_symbol
_atom_site_fract_x
_atom_site_fract_y
_atom_site_fract_z
Sc1 Sc 0.000 0.000 0.000
Mo1 Mo 0.000 0.000 0.500
O1 O 0.183 0.250 0.125

Entry 2
# ScMoO2, optimized geometry, DFT GGA+U
# Theoretical density (g/cm³): 5.1
data_ScMoO2
_chemical_formula_sum 'Sc3 Mo3 O6'
_cell_length_a 3.2091
_cell_length_b 3.2091
_cell_length_c 19.0097
_cell_angle_alpha 90.00
_cell_angle_beta 90.00
_cell_angle_gamma 120.00
_symmetry_space_group_name_H-M 'R -3 m'
_symmetry_Int_Tables_number 166
_symmetry_space_group_name_Hall '-R 3 2"'
loop_
_atom_site_label
_atom_site_type_symbol
_atom_site_fract_x
_atom_site_fract_y
_atom_site_fract_z
Sc1 Sc 0.0000 0.0000 0.0000
Mo1 Mo 0.0000 0.0000 0.5000
O1 O 0.0000 0.0000 0.3879

Entry 3
# ScMoO2, optimized geometry, DFT GGA+U
# Theoretical density (g/cm³): 6.7
data_ScMoO2
_chemical_formula_sum 'Sc4 Mo4 O8'
_cell_length_a 5.567
_cell_length_b 5.567
_cell_length_c 5.567
_cell_angle_alpha 90.00
_cell_angle_beta 90.00
_cell_angle_gamma 90.00
_symmetry_space_group_name_H-M 'F m -3 m'
_symmetry_Int_Tables_number 225
_symmetry_space_group_name_Hall '-F 4 2 3'
loop_
_atom_site_label
_atom_site_type_symbol
_atom_site_fract_x
_atom_site_fract_y
_atom_site_fract_z
Sc1 Sc 0.000 0.000 0.000
Mo1 Mo 0.000 0.000 0.500
O1 O 0.250 0.250 0.250

Which of them is the most stable, and which is the least stable? entry 2 and entry 3, in that order.

Entry 1
# YScMoO2, optimized geometry, DFT GGA+U
# Theoretical density (g/cm³): 4.9
data_YScMoO2
_chemical_formula_sum 'Y1 Sc1 Mo1 O2'
_cell_length_a 4.086
_cell_length_b 4.086
_cell_length_c 5.268
_cell_angle_alpha 90.00
_cell_angle_beta 90.00
_cell_angle_gamma 90.00
_symmetry_space_group_name_H-M 'P 4/m m m'
_symmetry_Int_Tables_number 123
_symmetry_space_group_name_Hall '-P 4 2'
loop_
_atom_site_label
_atom_site_type_symbol
_atom_site_fract_x
_atom_site_fract_y
_atom_site_fract_z
Y1 Y 0.000 0.000 0.000
Sc1 Sc 0.500 0.500 0.000
Mo1 Mo 0.500 0.500 0.500
O1 O 0.000 0.500 0.500

Entry 2
# YScMoO2, optimized geometry, DFT GGA+U
# Theoretical density (g/cm³): 3.4
data_YScMoO2
_chemical_formula_sum 'Y1 Sc1 Mo1 O2'
_cell_length_a 4.317
_cell_length_b 4.317
_cell_length_c 6.842
_cell_angle_alpha 90.00
_cell_angle_beta 90.00
_cell_angle_gamma 90.00
_symmetry_space_group_name_H-M 'P 4/m m m'
_symmetry_Int_Tables_number 123
_symmetry_space_group_name_Hall '-P 4 2'
loop_
_atom_site_label
_atom_site_type_symbol
_atom_site_fract_x
_atom_site_fract_y
_atom_site_fract_z
Y1 Y 0.000 0.000 0.000
Sc1 Sc 0.000 0.000 0.500
Mo1 Mo 0.500 0.500 0.500
O1 O 0.000 0.500 0.000

Which of them is the most stable, and which is the least stable? entry 1 and entry 2, in that order.

Entry 1
# MoSe3O, optimized geometry, DFT GGA+U
# Theoretical density (g/cm³): 5.0
data_MoSe3O
_chemical_formula_sum 'Mo1 Se3 O1'
_cell_length_a 4.879
_cell_length_b 4.879
_cell_length_c 4.879
_cell_angle_alpha 90.00
_cell_angle_beta 90.00
_cell_angle_gamma 90.00
_symmetry_space_group_name_H-M 'P m -3 m'
_symmetry_Int_Tables_number 221
_symmetry_space_group_name_Hall '-P 4 2 3'
loop_
_atom_site_label
_atom_site_type_symbol
_atom_site_fract_x
_atom_site_fract_y
_atom_site_fract_z
Mo1 Mo 0.000 0.000 0.000
Se1 Se 0.000 0.000 0.500
O1 O 0.500 0.500 0.500

Entry 2
# MoSe3O, optimized geometry, DFT GGA+U
# Theoretical density (g/cm³): 6.2
data_MoSe3O
_chemical_formula_sum 'Mo1 Se3 O1'
_cell_length_a 4.532
_cell_length_b 4.532
_cell_length_c 4.532
_cell_angle_alpha 90.00
_cell_angle_beta 90.00
_cell_angle_gamma 90.00
_symmetry_space_group_name_H-M 'P m -3 m'
_symmetry_Int_Tables_number 221
_symmetry_space_group_name_Hall '-P 4 2 3'
loop_
_atom_site_label
_atom_site_type_symbol
_atom_site_fract_x
_atom_site_fract_y
_atom_site_fract_z
Mo1 Mo 0.000 0.000 0.000
Se1 Se 0.000 0.500 0.500
O1 O 0.500 0.500 0.500

Which of them is the most stable, and which is the least stable? entry 2 and entry 1, in that order.